# UBRh3

UBRh3 at its PBEsol-relaxed geometry (SCAN, Alexandria).

## Properties
Its crystal system is cubic. The formation energy from the elements is -0.539 eV/atom. The total DFT energy (no corrections) is -215.0 eV per cell.

```
UBRh3
1.0
-1.846 0.670 3.673
-0.519 -4.104 0.488
3.697 -0.241 1.902
B Rh U
1 3 1
direct
0.500 0.500 0.500
0.500 0.500 0.000
0.000 0.500 0.500
0.500 0.000 0.500
0.000 0.000 0.000
```